## NdCrB14 (PBE)

Data for a relaxed NdCrB14 crystal.

Lattice parameters (Å, degrees): 5.8656 10.8300 8.2895 90.00 90.00 90.00
Last column: nearest neighbours and their distance in Å.
Space group Imma (No. 74)
Unique sites:
Nd 0.0000 0.2500 0.1277 x4  6 B 2.55-2.80
Cr 0.2500 0.2500 0.7500 x4  8 B 2.21-2.42
B 0.0000 0.0829 0.6691 x8  6 B 1.70-1.88
B 0.0000 0.1265 0.8662 x8  3 B 1.70-1.72
B 0.0000 0.1663 0.4696 x8  6 B 1.81-1.88
B 0.1602 0.0610 0.3398 x16  6 B 1.82-1.88
B 0.2484 0.0772 0.5487 x16  6 B 1.72-1.87

Calculated values
Magnetic moment = 2.85 μB per formula unit
Formation enthalpy at 0 K = -0.145 eV per atom